Arrangement i

Compound: Dy4Er2Sc3
Source: Alexandria via LeMat-Bulk
Functional: PBE-GGA
Structure: optimized geometry

```
Dy4Er2Sc3
1.0
7.7050 -5.6224 0.0000
7.7050 5.6224 0.0000
-0.5175 0.0000 5.9921
Dy Er Sc
8 4 6
Direct
0.0936 0.8093 0.9903
0.1425 0.4269 0.1570
0.1907 0.9064 0.5097
0.4269 0.1425 0.6570
0.5731 0.8575 0.3430
0.8093 0.0936 0.4903
0.8575 0.5731 0.8430
0.9064 0.1907 0.0097
0.2414 0.5231 0.6764
0.4769 0.7586 0.8236
0.5231 0.2414 0.1764
0.7586 0.4769 0.3236
0.0677 0.2662 0.5824
0.2662 0.0677 0.0824
0.4015 0.5985 0.2500
0.5985 0.4015 0.7500
0.7338 0.9323 0.9176
0.9323 0.7338 0.4176
```

Theoretical density (Mg/m³): 7.16
Calculated volume (Å³/atom): 28.84


Arrangement ii

Compound: Dy4Er2Sc3
Source: Alexandria via LeMat-Bulk
Functional: PBE-GGA
Structure: optimized geometry

```
Dy4Er2Sc3
1.0
3.4814 0.0000 0.0000
-1.7407 3.0150 0.0000
0.0000 0.0000 25.1538
Dy Er Sc
4 2 3
Direct
0.0000 0.0000 0.0000
0.0000 0.0000 0.2108
0.3333 0.6667 0.3272
0.3333 0.6667 0.5394
0.0000 0.0000 0.6543
0.0000 0.0000 0.8632
0.0000 0.0000 0.4332
0.3333 0.6667 0.1044
0.3333 0.6667 0.7594
```

Theoretical density (Mg/m³): 7.04
Calculated volume (Å³/atom): 29.34


Relative stability in meV/atom, measured from the most stable structure: arrangement i 52; arrangement ii 0


Arrangement i

Compound: DyEr6Sc3
Source: Alexandria via LeMat-Bulk
Functional: PBE-GGA
Structure: optimized geometry

```
DyEr6Sc3
1.0
5.1793 -9.2272 0.0000
5.1793 9.2272 0.0000
0.0000 0.0000 6.1045
Dy Er Sc
2 12 6
Direct
0.2099 0.7901 0.5000
0.7901 0.2099 0.0000
0.0353 0.4449 0.3333
0.0471 0.9529 0.8151
0.2942 0.3714 0.1613
0.3031 0.6969 0.0230
0.3714 0.2942 0.6613
0.4449 0.0353 0.8333
0.5551 0.9647 0.3333
0.6286 0.7058 0.1613
0.6969 0.3031 0.5230
0.7058 0.6286 0.6613
0.9529 0.0471 0.3151
0.9647 0.5551 0.8333
0.0752 0.2998 0.7568
0.2998 0.0752 0.2568
0.3861 0.6139 0.5755
0.6139 0.3861 0.0755
0.7002 0.9248 0.7568
0.9248 0.7002 0.2568
```

Theoretical density (Mg/m³): 7.40
Calculated volume (Å³/atom): 29.17


Arrangement ii

Compound: DyEr6Sc3
Source: Alexandria via LeMat-Bulk
Functional: PBE-GGA
Structure: optimized geometry

```
DyEr6Sc3
1.0
4.6577 -10.1003 0.0000
4.6577 10.1003 0.0000
0.0000 0.0000 6.1836
Dy Er Sc
2 12 6
Direct
0.1590 0.8410 0.5000
0.8410 0.1590 0.0000
0.0148 0.9852 0.2808
0.1040 0.5408 0.8121
0.2629 0.3770 0.0667
0.3027 0.6973 0.2758
0.3770 0.2629 0.5667
0.4592 0.8960 0.8121
0.5408 0.1040 0.3121
0.6230 0.7371 0.0667
0.6973 0.3027 0.7758
0.7371 0.6230 0.5667
0.8960 0.4592 0.3121
0.9852 0.0148 0.7808
0.0415 0.2944 0.4720
0.2944 0.0415 0.9720
0.4168 0.5832 0.5890
0.5832 0.4168 0.0890
0.7056 0.9585 0.4720
0.9585 0.7056 0.9720
```

Theoretical density (Mg/m³): 7.43
Calculated volume (Å³/atom): 29.09


Relative stability in meV/atom, measured from the most stable structure: arrangement i 41; arrangement ii 0


Arrangement i

Compound: DyEr5Sc2
Source: Alexandria via LeMat-Bulk
Functional: PBE-GGA
Structure: optimized geometry

```
DyEr5Sc2
1.0
-4.3497 4.3497 6.1934
4.3497 -4.3497 6.1934
4.3497 4.3497 -6.1934
Dy Er Sc
2 10 4
Direct
0.2500 0.2500 0.0000
0.7500 0.7500 0.0000
0.0000 0.0000 0.0000
0.0066 0.5066 0.1971
0.1905 0.9934 0.5000
0.3095 0.8095 0.8029
0.4934 0.6905 0.5000
0.5000 0.5000 0.0000
0.5066 0.3095 0.5000
0.6905 0.1905 0.1971
0.8095 0.0066 0.5000
0.9934 0.4934 0.8029
0.1422 0.3578 0.5000
0.3578 0.8578 0.2157
0.6422 0.1422 0.7843
0.8578 0.6422 0.5000
```

Theoretical density (Mg/m³): 7.71
Calculated volume (Å³/atom): 29.29


Arrangement ii

Compound: DyEr5Sc2
Source: Alexandria via LeMat-Bulk
Functional: PBE-GGA
Structure: optimized geometry

```
DyEr5Sc2
1.0
-3.4441 3.4620 4.8622
3.4441 -3.4620 4.8622
3.4441 3.4620 -4.8622
Dy Er Sc
1 5 2
Direct
0.0000 0.0000 0.0000
0.0000 0.0000 0.5000
0.0000 0.5000 0.0000
0.5000 0.0000 0.0000
0.5000 0.0000 0.5000
0.5000 0.5000 0.5000
0.0000 0.5000 0.5000
0.5000 0.5000 0.0000
```

Theoretical density (Mg/m³): 7.80
Calculated volume (Å³/atom): 28.99


Relative stability in meV/atom, measured from the most stable structure: arrangement i 54; arrangement ii 0


Arrangement i

Compound: Dy2Er4Sc3
Source: Alexandria via LeMat-Bulk
Functional: PBE-GGA
Structure: optimized geometry

```
Dy2Er4Sc3
1.0
7.6920 -5.6049 0.0000
7.6920 5.6049 0.0000
-0.5083 0.0000 5.9820
Dy Er Sc
4 8 6
Direct
0.0242 0.7388 0.6760
0.2612 0.9758 0.8240
0.7388 0.0242 0.1760
0.9758 0.2612 0.3240
0.0739 0.3568 0.8432
0.3097 0.5931 0.9904
0.3568 0.0739 0.3432
0.4069 0.6903 0.5096
0.5931 0.3097 0.4904
0.6432 0.9261 0.6568
0.6903 0.4069 0.0096
0.9261 0.6432 0.1568
0.0987 0.9013 0.2500
0.2353 0.4320 0.4155
0.4320 0.2353 0.9155
0.5680 0.7647 0.0845
0.7647 0.5680 0.5845
0.9013 0.0987 0.7500
```

Theoretical density (Mg/m³): 7.27
Calculated volume (Å³/atom): 28.66


Arrangement ii

Compound: Dy2Er4Sc3
Source: Alexandria via LeMat-Bulk
Functional: PBE-GGA
Structure: optimized geometry

```
Dy2Er4Sc3
1.0
8.1445 -4.7128 0.0000
8.1445 4.7128 0.0000
-0.0048 0.0000 6.6633
Dy Er Sc
4 8 6
Direct
0.0433 0.3128 0.4994
0.3128 0.0433 0.9994
0.6872 0.9567 0.0006
0.9567 0.6872 0.5006
0.0435 0.6438 0.0009
0.3132 0.6440 0.4998
0.3560 0.6868 0.0002
0.3562 0.9565 0.4991
0.6438 0.0435 0.5009
0.6440 0.3132 0.9998
0.6868 0.3560 0.5002
0.9565 0.3562 0.9991
0.9997 0.0003 0.2500
0.0003 0.9997 0.7500
0.3337 0.3347 0.7499
0.3347 0.3337 0.2499
0.6653 0.6663 0.7501
0.6663 0.6653 0.2501
```

Theoretical density (Mg/m³): 7.33
Calculated volume (Å³/atom): 28.42


Relative stability in meV/atom, measured from the most stable structure: arrangement i 44; arrangement ii 0


Arrangement i

Compound: Dy6ErSc2
Source: Alexandria via LeMat-Bulk
Functional: PBE-GGA
Structure: optimized geometry

```
Dy6ErSc2
1.0
10.5984 -4.7399 0.0000
10.5984 4.7399 0.0000
-1.4240 0.0000 5.3164
Dy Er Sc
12 2 4
Direct
0.0027 0.1696 0.3246
0.0806 0.5802 0.0801
0.1696 0.0027 0.8246
0.3308 0.4971 0.6512
0.4198 0.9194 0.4199
0.4971 0.3308 0.1512
0.5029 0.6692 0.8488
0.5802 0.0806 0.5801
0.6692 0.5029 0.3488
0.8304 0.9973 0.1754
0.9194 0.4198 0.9199
0.9973 0.8304 0.6754
0.2496 0.7504 0.2500
0.7504 0.2496 0.7500
0.1667 0.3333 0.5089
0.3333 0.1667 0.0089
0.6667 0.8333 0.9911
0.8333 0.6667 0.4911
```

Theoretical density (Mg/m³): 7.66
Calculated volume (Å³/atom): 29.67


Arrangement ii

Compound: Dy6ErSc2
Source: Alexandria via LeMat-Bulk
Functional: PBE-GGA
Structure: optimized geometry

```
Dy6ErSc2
1.0
6.6689 -6.4557 0.0000
6.6689 6.4557 0.0000
-1.6582 0.0000 6.2893
Dy Er Sc
12 2 4
Direct
0.0386 0.4500 0.7347
0.1176 0.8286 0.0001
0.1714 0.8824 0.4999
0.2922 0.4675 0.1849
0.4500 0.0386 0.2347
0.4675 0.2922 0.6849
0.5325 0.7078 0.3151
0.5500 0.9614 0.7653
0.7078 0.5325 0.8151
0.8286 0.1176 0.5001
0.8824 0.1714 0.9999
0.9614 0.5500 0.2653
0.3607 0.6393 0.7500
0.6393 0.3607 0.2500
0.1535 0.2097 0.3736
0.2097 0.1535 0.8736
0.7903 0.8465 0.1264
0.8465 0.7903 0.6264
```

Theoretical density (Mg/m³): 7.56
Calculated volume (Å³/atom): 30.09


Relative stability in meV/atom, measured from the most stable structure: arrangement i 0; arrangement ii 59


Arrangement i

Compound: DyEr9Sc2
Source: Alexandria via LeMat-Bulk
Functional: PBE-GGA
Structure: optimized geometry

```
DyEr9Sc2
1.0
10.9478 0.0000 0.0000
-5.4739 9.4810 0.0000
0.0000 0.0000 3.4309
Dy Er Sc
1 9 2
Direct
0.0000 0.0000 0.0000
0.0000 0.5000 0.0000
0.1792 0.3583 0.5000
0.1792 0.8208 0.5000
0.3583 0.1792 0.5000
0.5000 0.0000 0.0000
0.5000 0.5000 0.0000
0.6417 0.8208 0.5000
0.8208 0.1792 0.5000
0.8208 0.6417 0.5000
0.3333 0.6667 0.0000
0.6667 0.3333 0.0000
```

Theoretical density (Mg/m³): 8.20
Calculated volume (Å³/atom): 29.68


Arrangement ii

Compound: DyEr9Sc2
Source: Alexandria via LeMat-Bulk
Functional: PBE-GGA
Structure: optimized geometry

```
DyEr9Sc2
1.0
4.9097 0.0000 0.0000
0.0000 4.9097 0.0000
0.0000 0.0000 14.7093
Dy Er Sc
1 9 2
Direct
0.0000 0.0000 0.0000
0.0000 0.5000 0.1707
0.0000 0.5000 0.5000
0.0000 0.5000 0.8293
0.5000 0.0000 0.1707
0.5000 0.0000 0.5000
0.5000 0.0000 0.8293
0.5000 0.5000 0.0000
0.5000 0.5000 0.3358
0.5000 0.5000 0.6642
0.0000 0.0000 0.3349
0.0000 0.0000 0.6651
```

Theoretical density (Mg/m³): 8.23
Calculated volume (Å³/atom): 29.55


Relative stability in meV/atom, measured from the most stable structure: arrangement i 8; arrangement ii 0